RbHg5Bi2Pb (GGA-PBE, relaxed); ρ = 8.12 g/cm³; symmetry = P4/mmm; formation energy = 0.01 eV/atom; total energy = -1.537 eV per atom
1.0
5.827 0.000 0.000
0.000 5.827 0.000
0.000 0.000 10.322
Rb Hg Bi Pb
1 5 2 1
Direct
0.000 0.000 0.000
0.000 0.500 0.350
0.000 0.500 0.650
0.500 0.000 0.350
0.500 0.000 0.650
0.500 0.500 0.000
0.500 0.500 0.272
0.500 0.500 0.728
0.000 0.000 0.500